[1]
Computed, not measured: CsI2Br2 after structural relaxation at the PBE level of DFT.

Properties
ΔE_f (raw) = -0.4270 eV/atom

Cell lengths 7.3679, 7.3679, 7.3679 Å; angles 129.02, 129.02, 74.97 degrees
Closest atoms and distances in Å follow each position.
Atoms (fractional coordinates):
Cs: 0.0000 0.0000 0.0000  8 Br 4.31, 10 I 4.49-4.68
I: 0.3844 0.3844 0.0000  1 I 2.70
I: 0.6156 0.6156 0.0000  1 I 2.70
Br: 0.2500 0.7500 0.5000  4 I 3.54
Br: 0.7500 0.2500 0.5000  4 I 3.54


[2]
Computed, not measured: GdErCoGe after structural relaxation at the PBE level of DFT.

Properties
E_form = -0.388 eV per atom

Cell lengths 4.9078, 4.9078, 4.9078 Å; angles 60.00, 60.00, 60.00 degrees
Closest atoms and distances in Å follow each position.
Atoms (fractional coordinates):
Gd: 0.0000 0.0000 0.0000  4 Ge 3.01, 4 Co 3.01
Er: 0.5000 0.5000 0.5000  4 Ge 3.01, 4 Co 3.01
Co: 0.2500 0.2500 0.2500  4 Gd 3.01, 4 Er 3.01
Ge: 0.7500 0.7500 0.7500  4 Er 3.01, 4 Gd 3.01


[3]
Computed, not measured: ZrIn2 after structural relaxation at the PBE level of DFT.

Properties
E_form = -0.081 eV per atom

Cell lengths 5.3445, 5.3445, 3.0097 Å; angles 90.00, 90.00, 90.00 degrees
Closest atoms and distances in Å follow each position.
Atoms (fractional coordinates):
Zr: 0.0000 0.0000 0.0000  2 Zr 3.01, 8 In 3.07
In: 0.0000 0.5000 0.5000  2 In 3.01, 4 Zr 3.07
In: 0.5000 0.0000 0.5000  2 In 3.01, 4 Zr 3.07


[4]
Computed, not measured: Cd4GaHg3 after structural relaxation at the PBE level of DFT.

Properties
E_form = 0.036 eV per atom

Cell lengths 10.1327, 6.1459, 6.0642 Å; angles 90.00, 90.00, 90.00 degrees
Closest atoms and distances in Å follow each position.
Atoms (fractional coordinates):
Cd: 0.0000 0.1226 0.0000  6 Cd 3.03-3.18, 3 Hg 3.09-3.31, 1 Ga 3.11
Cd: 0.0000 0.6295 0.0047  1 Ga 3.03, 4 Cd 3.03-3.19, 5 Hg 3.11-3.27
Cd: 0.2464 0.8749 0.7930  5 Hg 3.08-3.27, 5 Cd 3.12-3.40, 1 Ga 3.15
Cd: 0.2536 0.1251 0.2930  5 Hg 3.08-3.27, 5 Cd 3.12-3.40, 1 Ga 3.15
Cd: 0.5000 0.3705 0.5047  1 Ga 3.03, 4 Cd 3.03-3.19, 5 Hg 3.11-3.27
Cd: 0.5000 0.8774 0.5000  6 Cd 3.03-3.18, 3 Hg 3.09-3.31, 1 Ga 3.11
Cd: 0.7464 0.1251 0.2930  5 Hg 3.08-3.27, 5 Cd 3.12-3.40, 1 Ga 3.15
Cd: 0.7536 0.8749 0.7930  5 Hg 3.08-3.27, 5 Cd 3.12-3.40, 1 Ga 3.15
Ga: 0.0000 0.3851 0.4383  6 Hg 3.01-3.33, 4 Cd 3.03-3.15
Ga: 0.5000 0.6149 0.9383  6 Hg 3.01-3.33, 4 Cd 3.03-3.15
Hg: 0.0000 0.8735 0.4844  2 Ga 3.01-3.16, 6 Cd 3.12-3.31
Hg: 0.2236 0.3755 0.7652  2 Ga 3.01-3.33, 6 Cd 3.08-3.27
Hg: 0.2764 0.6245 0.2652  2 Ga 3.01-3.33, 6 Cd 3.08-3.27
Hg: 0.5000 0.1265 0.9844  2 Ga 3.01-3.16, 6 Cd 3.12-3.31
Hg: 0.7236 0.6245 0.2652  2 Ga 3.01-3.33, 6 Cd 3.08-3.27
Hg: 0.7764 0.3755 0.7652  2 Ga 3.01-3.33, 6 Cd 3.08-3.27


[5]
Computed, not measured: MnBe2Al after structural relaxation at the PBE level of DFT.

Properties
E_form = -0.051 eV per atom

Cell lengths 2.6213, 3.6298, 4.6832 Å; angles 90.00, 106.08, 90.00 degrees
Closest atoms and distances in Å follow each position.
Atoms (fractional coordinates):
Mn: 0.0000 0.0000 0.0000  7 Be 2.41-2.46, 2 Mn 2.62, 4 Al 2.65
Be: 0.2748 0.0000 0.5459  2 Be 2.14
Be: 0.3998 0.5000 0.7992  2 Be 2.14, 1 Al 2.32
Al: 0.6590 0.5000 0.3155  7 Be 2.32-2.54


[6]
Computed, not measured: AlTl2HgTe4 after structural relaxation at the PBE level of DFT.

Properties
ΔE_f (raw) = -0.2397 eV/atom

Cell lengths 6.9544, 7.0754, 7.4847 Å; angles 115.69, 115.24, 93.93 degrees
Closest atoms and distances in Å follow each position.
Atoms (fractional coordinates):
Al: 0.0000 0.0000 0.0000  4 Te 2.63-2.66
Tl: 0.4153 0.5827 0.9990  6 Te 3.40-3.70
Tl: 0.6568 0.3216 0.5006  4 Te 3.19-3.34
Hg: 0.2629 0.7309 0.5019  4 Te 2.84-2.98
Te: 0.0916 0.3066 0.4168  1 Al 2.66, 1 Hg 2.84
Te: 0.3465 0.0773 0.9549  1 Al 2.63
Te: 0.6918 0.9020 0.5816  1 Al 2.66, 1 Hg 2.84
Te: 0.9306 0.6561 0.0431  1 Al 2.63


[7]
Computed, not measured: ZrFeAs2Ir after structural relaxation at the PBE level of DFT.

Properties
E_form = 1.475 eV per atom

Cell lengths 5.0748, 5.0748, 4.8780 Å; angles 90.00, 90.00, 90.00 degrees
Closest atoms and distances in Å follow each position.
Atoms (fractional coordinates):
Zr: 0.0000 0.0000 0.0000  2 Ir 2.44, 4 As 2.54
Fe: 0.5000 0.5000 0.5000  8 As 3.52, 4 Ir 3.59
As: 0.0000 0.5000 0.0000  2 Zr 2.54
As: 0.5000 0.0000 0.0000  2 Zr 2.54
Ir: 0.0000 0.0000 0.5000  2 Zr 2.44


[8]
Computed, not measured: BaTa2Be after structural relaxation at the PBE level of DFT.

Properties
E_form = 1.327 eV per atom

Cell lengths 4.2404, 4.2404, 4.6802 Å; angles 90.00, 90.00, 90.00 degrees
Closest atoms and distances in Å follow each position.
Atoms (fractional coordinates):
Ba: 0.0000 0.0000 0.0000  4 Be 3.00, 8 Ta 3.16
Ta: 0.0000 0.5000 0.5000  4 Ta 3.00, 4 Ba 3.16, 4 Be 3.16
Ta: 0.5000 0.0000 0.5000  4 Ta 3.00, 4 Ba 3.16, 4 Be 3.16
Be: 0.5000 0.5000 0.0000  4 Ba 3.00, 8 Ta 3.16